The following is a PBE-GGA calculation of crystalline Nd3Sm3Ho5 at its relaxed geometry, from the Alexandria database.

Output
- ΔH_f (0 K): 18.0 kcal/mol of atoms
- Magnetization: 0.00 μB per formula unit
- Symmetry: P-62m, No. 189

```
Nd3Sm3Ho5
1.0
9.661 0.000 0.000
-4.830 8.367 0.000
0.000 0.000 5.555
Nd Sm Ho
3 3 5
direct
0.000 0.633 0.000
0.367 0.367 0.000
0.633 0.000 0.000
0.000 0.440 0.500
0.440 0.000 0.500
0.560 0.560 0.500
0.000 0.269 0.000
0.269 0.000 0.000
0.333 0.667 0.000
0.667 0.333 0.000
0.731 0.731 0.000
```

---

The following is a PBE-GGA calculation of crystalline NdSm4Ho3 at its relaxed geometry, from the Alexandria database.

Output
- ΔH_f (0 K): 4.9 kcal/mol of atoms
- Magnetization: 0.00 μB per formula unit
- Offset from the most stable computed form: 0.189 eV/atom
- Symmetry: C2/m, No. 12

```
NdSm4Ho3
1.0
13.063 -2.862 0.000
13.063 2.862 0.000
-0.004 0.000 3.600
Nd Sm Ho
1 4 3
direct
0.000 0.000 0.000
0.105 0.105 0.500
0.224 0.224 0.499
0.776 0.776 0.501
0.895 0.895 0.500
0.347 0.347 0.000
0.500 0.500 0.500
0.653 0.653 0.000
```

---

The following is a PBE-GGA calculation of crystalline NdSmHo4 at its relaxed geometry, from the Alexandria database.

Output
- ΔH_f (0 K): 0.5 kcal/mol of atoms
- Magnetization: 0.00 μB per formula unit
- Offset from the most stable computed form: 0.000 eV/atom
- Symmetry: C2/m, No. 12

```
NdSmHo4
1.0
5.653 -2.512 0.000
5.653 2.512 0.000
-2.272 0.000 6.776
Nd Sm Ho
1 1 4
direct
0.000 0.000 0.000
0.000 0.000 0.500
0.332 0.332 0.666
0.333 0.333 0.167
0.667 0.667 0.833
0.668 0.668 0.334
```

---

The following is a PBE-GGA calculation of crystalline Nd7SmHo3 at its relaxed geometry, from the Alexandria database.

Output
- ΔH_f (0 K): 4.1 kcal/mol of atoms
- Magnetization: 0.00 μB per formula unit
- Offset from the most stable computed form: 0.000 eV/atom
- Symmetry: C2/c, No. 15

```
Nd7SmHo3
1.0
9.637 -3.623 0.000
9.637 3.623 0.000
-5.501 0.000 11.313
Nd Sm Ho
14 2 6
direct
0.080 0.584 0.470
0.081 0.584 0.972
0.232 0.768 0.750
0.333 0.346 0.225
0.346 0.333 0.725
0.416 0.919 0.528
0.416 0.920 0.030
0.584 0.080 0.970
0.584 0.081 0.472
0.654 0.667 0.275
0.667 0.654 0.775
0.768 0.232 0.250
0.919 0.416 0.028
0.920 0.416 0.530
0.000 0.000 0.000
0.000 0.000 0.500
0.166 0.172 0.276
0.172 0.166 0.776
0.500 0.500 0.000
0.500 0.500 0.500
0.828 0.834 0.224
0.834 0.828 0.724
```

---

The following is a PBE-GGA calculation of crystalline Nd7Sm3Ho at its relaxed geometry, from the Alexandria database.

Output
- ΔH_f (0 K): 4.2 kcal/mol of atoms
- Magnetization: 0.00 μB per formula unit
- Offset from the most stable computed form: 0.000 eV/atom
- Symmetry: C2/c, No. 15

```
Nd7Sm3Ho
1.0
9.700 -3.629 0.000
9.700 3.629 0.000
-5.546 0.000 11.380
Nd Sm Ho
14 6 2
direct
0.080 0.587 0.972
0.081 0.583 0.471
0.221 0.779 0.750
0.338 0.342 0.225
0.342 0.338 0.725
0.413 0.920 0.528
0.417 0.919 0.029
0.583 0.081 0.971
0.587 0.080 0.472
0.658 0.662 0.275
0.662 0.658 0.775
0.779 0.221 0.250
0.919 0.417 0.529
0.920 0.413 0.028
0.167 0.169 0.774
0.169 0.167 0.274
0.500 0.500 0.000
0.500 0.500 0.500
0.831 0.833 0.726
0.833 0.831 0.226
0.000 0.000 0.000
0.000 0.000 0.500
```

---

The following is a PBE-GGA calculation of crystalline NdSm7Ho4 at its relaxed geometry, from the Alexandria database.

Output
- ΔH_f (0 K): 4.9 kcal/mol of atoms
- Magnetization: 0.07 μB per formula unit
- Offset from the most stable computed form: 0.209 eV/atom
- Symmetry: C2/m, No. 12

```
NdSm7Ho4
1.0
8.045 -2.982 0.000
8.045 2.982 0.000
-4.203 0.000 8.412
Nd Sm Ho
1 7 4
direct
0.000 0.000 0.000
0.085 0.085 0.450
0.212 0.212 0.237
0.215 0.215 0.883
0.500 0.500 0.000
0.785 0.785 0.117
0.788 0.788 0.763
0.915 0.915 0.550
0.330 0.330 0.616
0.428 0.428 0.302
0.572 0.572 0.698
0.670 0.670 0.384
```

---

> Which of these has the lowest ΔH_f (0 K)?

NdSmHo4

---

> ΔH_f (0 K) of number 6 (NdSm7Ho4)?

4.9 kcal/mol of atoms

---

> Which formula does entry 2 have?

NdSm4Ho3

---

> Which value of magnetization does entry 2 give?

0.00 μB per formula unit